1.
A plane-wave DFT calculation with PBE was carried out for a relaxed Sr2ZnCu3Sn4 crystal. Values from VASP.

Calculated values
* total magnetization: 0.000 Bohr magnetons per cell
* total DFT energy (no corrections): -36.391 eV/cell

The structure in Quantum ESPRESSO input format:
```
&SYSTEM
  ibrav = 0, nat = 10, ntyp = 4
/
ATOMIC_SPECIES
Sr 87.62 Sr.upf
Zn 65.41 Zn.upf
Cu 63.55 Cu.upf
Sn 118.71 Sn.upf
ATOMIC_POSITIONS crystal
Sr 0.500 0.000 0.255
Sr 0.000 0.500 0.745
Zn 0.500 0.500 0.500
Cu 0.000 0.000 0.500
Cu 0.500 0.000 0.866
Cu 0.000 0.500 0.134
Sn 0.500 0.500 0.000
Sn 0.000 0.000 0.000
Sn 0.500 0.000 0.633
Sn 0.000 0.500 0.367
CELL_PARAMETERS angstrom
-3.477 2.574 -1.412
-2.909 -3.318 1.115
-0.979 4.308 10.263
```

***

2.
A plane-wave DFT calculation with PBE was carried out for a relaxed PrY14Zr crystal. Values from VASP.

Calculated values
* total magnetization: 0.000 Bohr magnetons per cell
* total DFT energy (no corrections): -103.126 eV/cell

The structure in Quantum ESPRESSO input format:
```
&SYSTEM
  ibrav = 0, nat = 16, ntyp = 3
/
ATOMIC_SPECIES
Pr 140.91 Pr.upf
Y 88.91 Y.upf
Zr 91.22 Zr.upf
ATOMIC_POSITIONS crystal
Pr 0.375 0.625 0.000
Y 0.375 0.625 0.500
Y 0.875 0.125 0.500
Y 0.875 0.625 0.000
Y 0.875 0.625 0.500
Y 0.375 0.125 0.000
Y 0.375 0.125 0.500
Y 0.631 0.881 0.755
Y 0.631 0.881 0.245
Y 0.119 0.369 0.755
Y 0.119 0.369 0.245
Y 0.119 0.881 0.756
Y 0.119 0.881 0.244
Y 0.631 0.369 0.755
Y 0.631 0.369 0.245
Zr 0.875 0.125 0.000
CELL_PARAMETERS angstrom
7.063 0.948 0.000
-0.947 7.063 0.000
0.000 0.000 9.988
```

***

3.
A plane-wave DFT calculation with PBE was carried out for a relaxed HfScAg2 crystal. Values from VASP.

Calculated values
* total magnetization: 0.002 Bohr magnetons per cell
* energy above the lowest structure with this stoichiometry: 0.00 eV/f.u.

The structure in Quantum ESPRESSO input format:
```
&SYSTEM
  ibrav = 0, nat = 4, ntyp = 3
/
ATOMIC_SPECIES
Sc 44.96 Sc.upf
Hf 178.49 Hf.upf
Ag 107.87 Ag.upf
ATOMIC_POSITIONS crystal
Sc 0.500 0.500 0.000
Hf 0.500 0.500 0.500
Ag 0.000 0.000 0.753
Ag 0.000 0.000 0.247
CELL_PARAMETERS angstrom
3.306 0.000 0.000
0.000 3.306 0.000
0.000 0.000 7.311
```

***

4.
A plane-wave DFT calculation with PBE was carried out for a relaxed TiPIr3 crystal. Values from VASP.

Calculated values
* total magnetization: 0.000 Bohr magnetons per cell
* energy above the lowest structure with this stoichiometry: 5.74 eV/f.u.

The structure in Quantum ESPRESSO input format:
```
&SYSTEM
  ibrav = 0, nat = 5, ntyp = 3
/
ATOMIC_SPECIES
P 30.97 P.upf
Ir 192.22 Ir.upf
Ti 47.87 Ti.upf
ATOMIC_POSITIONS crystal
P 0.500 0.500 0.500
Ir 0.000 0.500 0.000
Ir 0.000 0.000 0.500
Ir 0.500 0.000 0.000
Ti 0.000 0.000 0.000
CELL_PARAMETERS angstrom
-1.463 4.330 0.336
-4.284 -1.497 0.640
0.715 -0.110 4.525
```

***

5.
A plane-wave DFT calculation with PBE was carried out for a relaxed Nd6Dy2Cd crystal. Values from VASP.

Calculated values
* total magnetization: 0.000 Bohr magnetons per cell
* energy above the lowest structure with this stoichiometry: 0.00 eV/f.u.

The structure in Quantum ESPRESSO input format:
```
&SYSTEM
  ibrav = 0, nat = 18, ntyp = 3
/
ATOMIC_SPECIES
Nd 144.24 Nd.upf
Dy 162.50 Dy.upf
Cd 112.41 Cd.upf
ATOMIC_POSITIONS crystal
Nd 0.192 0.365 0.564
Nd 0.591 0.749 0.997
Nd 0.808 0.635 0.436
Nd 0.409 0.251 0.003
Nd 0.039 0.546 0.890
Nd 0.368 0.855 0.560
Nd 0.961 0.454 0.110
Nd 0.632 0.145 0.440
Nd 0.128 0.971 0.118
Nd 0.080 0.930 0.336
Nd 0.872 0.029 0.882
Nd 0.920 0.070 0.664
Dy 0.248 0.420 0.330
Dy 0.534 0.696 0.221
Dy 0.752 0.580 0.670
Dy 0.466 0.304 0.779
Cd 0.677 0.197 0.222
Cd 0.323 0.803 0.778
CELL_PARAMETERS angstrom
5.775 0.128 -2.583
-1.482 5.841 -3.037
3.056 2.595 14.458
```

***

6.
A plane-wave DFT calculation with PBE was carried out for a relaxed LiErB4 crystal. Values from VASP.

Calculated values
* total magnetization: 0.000 Bohr magnetons per cell
* energy above the lowest structure with this stoichiometry: 0.00 eV/f.u.

The structure in Quantum ESPRESSO input format:
```
&SYSTEM
  ibrav = 0, nat = 24, ntyp = 3
/
ATOMIC_SPECIES
Li 6.94 Li.upf
Er 167.26 Er.upf
B 10.81 B.upf
ATOMIC_POSITIONS crystal
Li 0.000 0.629 0.085
Li 0.000 0.371 0.915
Li 0.000 0.129 0.415
Li 0.000 0.871 0.585
Er 0.000 0.624 0.348
Er 0.000 0.376 0.652
Er 0.000 0.124 0.152
Er 0.000 0.876 0.848
B 0.500 0.787 0.186
B 0.500 0.213 0.814
B 0.500 0.287 0.314
B 0.500 0.713 0.686
B 0.500 0.863 0.033
B 0.500 0.137 0.967
B 0.500 0.363 0.467
B 0.500 0.637 0.533
B 0.500 0.889 0.450
B 0.500 0.111 0.550
B 0.500 0.389 0.050
B 0.500 0.611 0.950
B 0.500 0.971 0.306
B 0.500 0.029 0.694
B 0.500 0.471 0.194
B 0.500 0.529 0.806
CELL_PARAMETERS angstrom
3.595 0.000 0.000
0.000 5.812 0.000
0.000 0.000 11.479
```